{
  "formula": "YH7Pd12",
  "functional": "PBE",
  "state": "relaxed",
  "rho_g_cm3": 9.9,
  "total_energy_ev_per_cell": -96.7,
  "lattice": [[5.273, 3.044, 2.384], [-5.273, 3.044, 2.384], [0.000, -6.089, 2.384]],
  "species": ["Y", "H", "H", "H", "H", "H", "H", "H", "Pd", "Pd", "Pd", "Pd", "Pd", "Pd", "Pd", "Pd", "Pd", "Pd", "Pd", "Pd"],
  "frac_coords": [[0.000, 0.000, 0.000], [0.015, 0.185, 0.387], [0.185, 0.387, 0.015], [0.387, 0.015, 0.185], [0.500, 0.500, 0.500], [0.613, 0.985, 0.815], [0.815, 0.613, 0.985], [0.985, 0.815, 0.613], [0.078, 0.235, 0.695], [0.158, 0.469, 0.385], [0.235, 0.695, 0.078], [0.305, 0.922, 0.765], [0.385, 0.158, 0.469], [0.469, 0.385, 0.158], [0.531, 0.615, 0.842], [0.615, 0.842, 0.531], [0.695, 0.078, 0.235], [0.765, 0.305, 0.922], [0.842, 0.531, 0.615], [0.922, 0.765, 0.305]]
}

***

{
  "formula": "Ce2Be3Si4Ni",
  "functional": "PBE",
  "state": "relaxed",
  "rho_g_cm3": 5.3,
  "raw_formation_energy_ev_per_atom": -0.52,
  "lattice": [[3.989, 0.000, 0.000], [0.000, 3.989, 0.000], [0.000, 0.000, 9.391]],
  "species": ["Ce", "Ce", "Be", "Be", "Be", "Si", "Si", "Si", "Si", "Ni"],
  "frac_coords": [[0.000, 0.500, 0.249], [0.500, 0.000, 0.751], [0.000, 0.000, 0.000], [0.000, 0.500, 0.628], [0.500, 0.000, 0.372], [0.000, 0.000, 0.500], [0.000, 0.500, 0.871], [0.500, 0.000, 0.129], [0.500, 0.500, 0.500], [0.500, 0.500, 0.000]]
}

***

{
  "formula": "Ag3ICl9",
  "functional": "PBE",
  "state": "relaxed",
  "rho_g_cm3": 2.8,
  "raw_formation_energy_ev_per_atom": -0.23,
  "lattice": [[9.480, -3.745, 0.000], [9.480, 3.745, 0.000], [-9.438, 0.000, 12.950]],
  "species": ["Ag", "Ag", "Ag", "Ag", "Ag", "Ag", "I", "I", "Cl", "Cl", "Cl", "Cl", "Cl", "Cl", "Cl", "Cl", "Cl", "Cl", "Cl", "Cl", "Cl", "Cl", "Cl", "Cl", "Cl", "Cl"],
  "frac_coords": [[0.021, 0.979, 0.500], [0.110, 0.755, 0.301], [0.182, 0.339, 0.752], [0.339, 0.182, 0.252], [0.755, 0.110, 0.801], [0.979, 0.021, 0.000], [0.709, 0.854, 0.982], [0.854, 0.709, 0.482], [0.013, 0.528, 0.608], [0.048, 0.635, 0.103], [0.055, 0.397, 0.362], [0.106, 0.942, 0.877], [0.137, 0.749, 0.579], [0.257, 0.959, 0.160], [0.383, 0.434, 0.337], [0.397, 0.055, 0.862], [0.434, 0.383, 0.837], [0.528, 0.013, 0.108], [0.588, 0.684, 0.393], [0.635, 0.048, 0.603], [0.684, 0.588, 0.893], [0.709, 0.912, 0.363], [0.749, 0.137, 0.079], [0.912, 0.709, 0.863], [0.942, 0.106, 0.377], [0.959, 0.257, 0.660]]
}

***

{
  "formula": "Li2ZrFeI",
  "functional": "PBE",
  "state": "relaxed",
  "rho_g_cm3": 4.6,
  "raw_formation_energy_ev_per_atom": 0.88,
  "lattice": [[4.653, 0.000, 0.000], [0.000, 4.653, 0.000], [0.000, 0.000, 4.807]],
  "species": ["Li", "Li", "Zr", "Fe", "I"],
  "frac_coords": [[0.000, 0.500, 0.000], [0.500, 0.000, 0.000], [0.000, 0.000, 0.500], [0.500, 0.500, 0.500], [0.500, 0.500, 0.000]]
}